Entry 1:
Here is LiInBi2 after structural relaxation from Alexandria. Energies are from PBE-GGA.

```
LiInBi2
1.0
-1.276 2.139 2.398
-2.475 0.992 -2.202
-5.355 -6.608 3.044
Li Bi In
1 2 1
Direct
0.500 0.500 0.000
0.000 0.000 0.213
0.000 0.000 0.787
0.500 0.500 0.500
```

## Properties
Energy relative to the elements (eV/atom): -0.1593
Size of the total moment (μB/f.u.): 0.000
Calculated total energy (eV/f.u.): -13.051



Entry 2:
Here is Li4InBi2 after structural relaxation from Alexandria. Energies are from PBE-GGA.

```
Li4InBi2
1.0
-2.451 -0.342 -4.164
-2.652 -3.944 -0.932
-8.007 2.001 1.732
In Bi Li
1 2 4
Direct
0.000 0.000 0.000
0.751 0.751 0.748
0.249 0.249 0.252
0.128 0.128 0.617
0.872 0.872 0.383
0.379 0.379 0.863
0.621 0.621 0.137
```

## Properties
Energy relative to the elements (eV/atom): -0.3685
Size of the total moment (μB/f.u.): 0.000
Offset from the most stable computed form (kJ/mol of formula units): 0
Calculated total energy (eV/f.u.): -20.735



Entry 3:
Here is Li2In2Bi after structural relaxation from Alexandria. Energies are from PBE-GGA.

```
Li2In2Bi
1.0
4.231 0.000 0.000
0.000 4.231 0.000
2.115 2.115 6.913
Li In Bi
2 2 1
Direct
0.250 0.750 0.500
0.750 0.250 0.500
0.606 0.606 0.789
0.394 0.394 0.211
0.000 0.000 0.000
```

## Properties
Energy relative to the elements (eV/atom): -0.0980
Size of the total moment (μB/f.u.): 0.000
Offset from the most stable computed form (kJ/mol of formula units): 55
Calculated total energy (eV/f.u.): -13.675



Entry 4:
Here is Li8InBi2 after structural relaxation from Alexandria. Energies are from PBE-GGA.

```
Li8InBi2
1.0
-0.214 3.146 3.454
-7.260 2.022 -2.292
1.404 -6.787 3.102
Li Bi In
8 2 1
Direct
0.347 0.553 0.694
0.347 0.141 0.693
0.653 0.447 0.306
0.653 0.859 0.307
0.850 0.850 0.700
0.000 0.701 0.000
0.000 0.299 0.000
0.150 0.150 0.300
0.798 0.298 0.596
0.202 0.702 0.404
0.500 0.000 0.000
```

## Properties
Energy relative to the elements (eV/atom): -0.4046
Size of the total moment (μB/f.u.): 0.000
Calculated total energy (eV/f.u.): -30.261



Entry 5:
Here is Li3In2Bi3 after structural relaxation from Alexandria. Energies are from PBE-GGA.

```
Li3In2Bi3
1.0
-0.295 1.814 -2.897
-4.504 -2.015 -0.802
-2.479 8.673 7.713
Bi Li In
3 3 2
Direct
0.500 0.000 0.000
0.380 0.380 0.760
0.620 0.620 0.240
0.889 0.889 0.777
0.000 0.500 0.000
0.111 0.111 0.223
0.274 0.774 0.547
0.726 0.226 0.453
```

## Properties
Energy relative to the elements (eV/atom): -0.2387
Size of the total moment (μB/f.u.): 0.000
Calculated total energy (eV/f.u.): -24.771



Entry 6:
Here is Li2In6Bi after structural relaxation from Alexandria. Energies are from PBE-GGA.

```
Li2In6Bi
1.0
4.241 0.000 -1.268
-0.770 6.767 -2.576
0.046 0.141 7.878
In Li Bi
6 2 1
Direct
0.397 0.849 0.794
0.835 0.506 0.670
0.726 0.838 0.452
0.274 0.162 0.548
0.603 0.151 0.206
0.165 0.494 0.330
0.057 0.821 0.115
0.943 0.179 0.885
0.500 0.500 0.000
```

## Properties
Energy relative to the elements (eV/atom): -0.1107
Size of the total moment (μB/f.u.): 0.000
Calculated total energy (eV/f.u.): -25.135



Entry 7:
Here is Li5InBi4 after structural relaxation from Alexandria. Energies are from PBE-GGA.

```
Li5InBi4
1.0
-0.761 -2.376 -2.337
-2.001 -1.592 2.269
-15.461 10.866 -6.011
Bi Li In
4 5 1
Direct
0.000 0.000 0.814
0.000 0.000 0.605
0.000 0.000 0.395
0.000 0.000 0.186
0.500 0.500 0.090
0.500 0.500 0.910
0.500 0.500 0.292
0.500 0.500 0.500
0.500 0.500 0.708
0.000 0.000 0.000
```

## Properties
Energy relative to the elements (eV/atom): -0.3596
Size of the total moment (μB/f.u.): 0.000
Calculated total energy (eV/f.u.): -31.427



Entry 8:
Here is LiInBi3 after structural relaxation from Alexandria. Energies are from PBE-GGA.

```
LiInBi3
1.0
-3.356 1.287 -4.582
-3.960 -3.867 1.814
-2.641 4.161 3.104
Bi In Li
3 1 1
Direct
0.000 0.000 0.500
0.500 0.000 0.000
0.000 0.500 0.000
0.000 0.000 0.000
0.500 0.500 0.500
```

## Properties
Energy relative to the elements (eV/atom): 0.5120
Size of the total moment (μB/f.u.): 0.000
Offset from the most stable computed form (kJ/mol of formula units): 152
Calculated total energy (eV/f.u.): -13.735



Entry 9:
Here is LiInBi2 after structural relaxation from Alexandria. Energies are from PBE-GGA.

```
LiInBi2
1.0
7.116 0.000 0.000
0.000 7.116 0.000
3.558 3.558 5.450
Bi In Li
4 2 2
Direct
0.143 0.625 0.250
0.875 0.857 0.750
0.375 0.393 0.750
0.607 0.125 0.250
0.000 0.000 0.000
0.750 0.250 0.500
0.250 0.750 0.500
0.500 0.500 0.000
```

## Properties
Energy relative to the elements (eV/atom): 0.1407
Size of the total moment (μB/f.u.): 0.000
Calculated total energy (eV/f.u.): -11.852



Entry 10:
Here is Li2InBi3 after structural relaxation from Alexandria. Energies are from PBE-GGA.

```
Li2InBi3
1.0
3.395 0.000 0.000
0.000 5.411 -1.791
0.000 -0.083 8.817
Bi Li In
3 2 1
Direct
0.500 0.500 0.000
0.500 0.197 0.393
0.500 0.803 0.607
0.000 0.352 0.704
0.000 0.648 0.296
0.000 0.000 0.000
```

## Properties
Energy relative to the elements (eV/atom): -0.1936
Size of the total moment (μB/f.u.): 0.000
Offset from the most stable computed form (kJ/mol of formula units): 23
Calculated total energy (eV/f.u.): -19.371



Entry 11:
Here is Li6In12Bi after structural relaxation from Alexandria. Energies are from PBE-GGA.

```
Li6In12Bi
1.0
-7.382 2.083 -0.670
-2.486 -4.949 5.348
0.324 5.130 5.732
Li In Bi
6 12 1
Direct
0.109 0.722 0.263
0.722 0.263 0.109
0.737 0.891 0.278
0.263 0.109 0.722
0.278 0.737 0.891
0.891 0.278 0.737
0.428 0.795 0.535
0.572 0.205 0.465
0.205 0.465 0.572
0.465 0.572 0.205
0.384 0.031 0.168
0.031 0.168 0.384
0.795 0.535 0.428
0.969 0.832 0.616
0.535 0.428 0.795
0.616 0.969 0.832
0.168 0.384 0.031
0.832 0.616 0.969
0.000 0.000 0.000
```

## Properties
Energy relative to the elements (eV/atom): -0.1405
Size of the total moment (μB/f.u.): 0.000
Calculated total energy (eV/f.u.): -50.895



Entry 12:
Here is Li4InBi after structural relaxation from Alexandria. Energies are from PBE-GGA.

```
Li4InBi
1.0
7.859 -1.240 0.000
-4.308 6.690 0.000
-1.776 -2.725 7.261
Li Bi In
8 2 2
Direct
0.755 0.485 0.729
0.235 0.005 0.229
0.776 0.005 0.771
0.274 0.501 0.773
0.251 0.978 0.727
0.251 0.524 0.273
0.755 0.026 0.271
0.728 0.501 0.227
0.494 0.994 0.500
0.744 0.744 0.000
0.244 0.244 0.000
0.994 0.494 0.500
```

## Properties
Energy relative to the elements (eV/atom): -0.0859
Size of the total moment (μB/f.u.): 0.000
Calculated total energy (eV/f.u.): -14.790



Which of these has the highest energy relative to the elements?
LiInBi3



What did the twelfth record say?
Here is Li4InBi after structural relaxation from Alexandria. Energies are from PBE-GGA.

```
Li4InBi
1.0
7.859 -1.240 0.000
-4.308 6.690 0.000
-1.776 -2.725 7.261
Li Bi In
8 2 2
Direct
0.755 0.485 0.729
0.235 0.005 0.229
0.776 0.005 0.771
0.274 0.501 0.773
0.251 0.978 0.727
0.251 0.524 0.273
0.755 0.026 0.271
0.728 0.501 0.227
0.494 0.994 0.500
0.744 0.744 0.000
0.244 0.244 0.000
0.994 0.494 0.500
```

## Properties
Energy relative to the elements (eV/atom): -0.0859
Size of the total moment (μB/f.u.): 0.000
Calculated total energy (eV/f.u.): -14.790



energy relative to the elements of number 10 (Li2InBi3)?
-0.1936 eV/atom



Which value of energy relative to the elements does entry 12 give?
-0.0859 eV/atom